No. 1
## K3Ce2PrSe6 (GGA-PBE)

Data for an optimized crystal structure of K3Ce2PrSe6.

The structure in extended XYZ format:
```
12
Lattice="3.795 -6.573 0.000 3.795 6.573 0.000 -2.531 0.000 7.682" Properties=species:S:1:pos:R:3 pbc="T T T"
K 0.000 0.000 0.000
K 3.795 2.184 0.000
K 3.795 -2.184 0.000
Ce 2.530 4.381 3.841
Ce 2.530 -4.381 3.841
Pr 2.530 0.000 3.841
Se 1.258 2.202 2.223
Se -0.013 0.000 5.458
Se 1.258 -2.202 2.223
Se 3.801 2.202 5.458
Se 5.072 0.000 2.224
Se 3.801 -2.202 5.458
```

Summary:
**Crystal system**: monoclinic
**VASP energy**: -5.1134 eV/atom
**E_form (uncorrected)**: -1.709 eV/atom
**N(E_F)**: 11.7 states/eV per cell

=====

No. 2
## PrY2F (GGA-PBE)

Data for an optimized crystal structure of PrY2F.

The structure in extended XYZ format:
```
12
Lattice="3.644 0.000 0.000 -1.822 3.155 0.000 0.000 0.000 28.431" Properties=species:S:1:pos:R:3 pbc="T T T"
Pr 0.000 0.000 0.000
Pr 0.000 2.104 18.954
Pr 1.822 1.052 9.477
Y 0.000 0.000 3.381
Y 0.000 0.000 25.050
Y 0.000 2.104 15.573
Y 0.000 2.104 22.335
Y 1.822 1.052 6.096
Y 1.822 1.052 12.858
F 0.000 0.000 14.215
F 0.000 2.104 4.738
F 1.822 1.052 23.692
```

Summary:
**Crystal system**: trigonal
**VASP energy**: -5.8001 eV/atom
**E_form (uncorrected)**: -0.905 eV/atom
**N(E_F)**: 17.4 states/eV per cell

=====

No. 3
## Nd2Ga2Br (GGA-PBE)

Data for an optimized crystal structure of Nd2Ga2Br.

The structure in extended XYZ format:
```
15
Lattice="4.225 0.000 0.000 -2.112 3.659 0.000 0.000 0.000 24.660" Properties=species:S:1:pos:R:3 pbc="T T T"
Nd 0.000 0.000 2.038
Nd 0.000 0.000 22.622
Nd 0.000 2.439 14.402
Nd 0.000 2.439 18.478
Nd 2.112 1.220 6.182
Nd 2.112 1.220 10.258
Ga 0.000 0.000 8.018
Ga 0.000 0.000 16.642
Ga 0.000 2.439 8.422
Ga 0.000 2.439 24.458
Ga 2.112 1.220 0.202
Ga 2.112 1.220 16.238
Br 0.000 0.000 12.330
Br 0.000 2.439 4.110
Br 2.112 1.220 20.550
```

Summary:
**Crystal system**: trigonal
**VASP energy**: -4.4094 eV/atom
**E_form (uncorrected)**: -0.957 eV/atom
**N(E_F)**: 5.8 states/eV per cell

=====

No. 4
## VIr6Ru2 (GGA-PBE)

Data for an optimized crystal structure of VIr6Ru2.

The structure in extended XYZ format:
```
9
Lattice="5.770 -1.927 0.000 5.770 1.927 0.000 -1.924 0.000 5.763" Properties=species:S:1:pos:R:3 pbc="T T T"
V 0.000 0.000 0.000
Ir -0.034 0.000 3.848
Ir 1.892 0.000 1.906
Ir 3.901 0.000 0.011
Ir 5.716 0.000 5.752
Ir 7.724 0.000 3.857
Ir 9.650 0.000 1.915
Ru 3.839 0.000 3.847
Ru 5.777 0.000 1.916
```

Summary:
**Energy relative to the elements**: -0.17 eV/atom
**Crystal system**: monoclinic
**VASP energy**: -9.1508 eV/atom
**N(E_F)**: 8.7 states/eV per cell

=====

No. 5
## ZrPaPdO6 (GGA-PBE)

Data for an optimized crystal structure of ZrPaPdO6.

The structure in extended XYZ format:
```
18
Lattice="5.055 0.000 0.000 0.000 5.055 0.000 0.000 0.000 9.809" Properties=species:S:1:pos:R:3 pbc="T T T"
Zr 0.000 0.000 0.000
Zr 2.527 2.527 4.904
Pa 0.000 0.000 6.504
Pa 2.527 2.527 1.600
Pd 0.000 0.000 3.250
Pd 2.527 2.527 8.155
O 0.936 0.936 8.184
O 0.944 0.944 1.654
O 0.990 0.990 4.827
O 1.537 3.517 9.731
O 1.583 3.472 6.558
O 1.592 3.463 3.279
O 3.463 1.592 3.279
O 3.472 1.583 6.558
O 3.517 1.537 9.731
O 4.065 4.065 4.827
O 4.111 4.111 1.654
O 4.119 4.119 8.184
```

Summary:
**Crystal system**: tetragonal
**VASP energy**: -8.3734 eV/atom
**E_form (uncorrected)**: -2.486 eV/atom
**N(E_F)**: 3.2 states/eV per cell

=====

No. 6
## MoC3Br (GGA-PBE)

Data for an optimized crystal structure of MoC3Br.

The structure in extended XYZ format:
```
5
Lattice="4.202 0.000 0.000 0.000 4.202 0.000 0.000 0.000 4.202" Properties=species:S:1:pos:R:3 pbc="T T T"
Mo 0.000 0.000 0.000
C 0.000 0.000 2.101
C 0.000 2.101 0.000
C 2.101 0.000 0.000
Br 2.101 2.101 2.101
```

Summary:
**Energy above the most stable polymorph in this dataset**: 0.0 meV/atom
**Crystal system**: cubic
**VASP energy**: -5.8318 eV/atom
**E_form (uncorrected)**: 2.203 eV/atom
**N(E_F)**: 6.7 states/eV per cell

=====

No. 7
## Fe2Au (GGA-PBE)

Data for an optimized crystal structure of Fe2Au.

The structure in extended XYZ format:
```
3
Lattice="4.258 0.000 0.000 -2.129 3.688 0.000 0.000 0.000 2.667" Properties=species:S:1:pos:R:3 pbc="T T T"
Fe 0.000 2.458 0.000
Fe 2.129 1.229 0.000
Au 0.000 0.000 1.333
```

Summary:
**Energy relative to the elements**: 0.24 eV/atom
**Crystal system**: hexagonal
**VASP energy**: -6.4933 eV/atom
**N(E_F)**: 3.3 states/eV per cell

=====

No. 8
## CdRe2Te (GGA-PBE)

Data for an optimized crystal structure of CdRe2Te.

The structure in extended XYZ format:
```
8
Lattice="3.027 0.000 0.000 0.000 4.940 0.000 0.000 0.000 10.729" Properties=species:S:1:pos:R:3 pbc="T T T"
Cd 0.000 0.000 0.000
Cd 1.514 2.470 0.000
Re 0.000 0.000 6.097
Re 0.000 2.470 8.148
Re 1.514 0.000 8.148
Re 1.514 2.470 6.097
Te 0.000 2.470 3.524
Te 1.514 0.000 3.524
```

Summary:
**Energy above the most stable polymorph in this dataset**: 280.3 meV/atom
**Crystal system**: orthorhombic
**VASP energy**: -6.5784 eV/atom
**E_form (uncorrected)**: 0.660 eV/atom
**N(E_F)**: 6.0 states/eV per cell

=====

No. 9
## FeGe2PdS (GGA-PBE)

Data for an optimized crystal structure of FeGe2PdS.

The structure in extended XYZ format:
```
5
Lattice="4.840 0.000 0.000 0.000 4.840 0.000 0.000 0.000 4.072" Properties=species:S:1:pos:R:3 pbc="T T T"
Fe 0.000 0.000 0.000
Ge 0.000 2.420 2.036
Ge 2.420 0.000 2.036
Pd 2.420 2.420 0.000
S 0.000 0.000 2.036
```

Summary:
**Crystal system**: tetragonal
**VASP energy**: -4.8368 eV/atom
**E_form (uncorrected)**: 0.567 eV/atom
**N(E_F)**: 3.9 states/eV per cell

=====

No. 10
## SrNd3Ir8 (GGA-PBE)

Data for an optimized crystal structure of SrNd3Ir8.

The structure in extended XYZ format:
```
12
Lattice="2.725 1.573 8.898 -2.725 1.573 8.898 0.000 -3.146 8.898" Properties=species:S:1:pos:R:3 pbc="T T T"
Sr 0.000 0.000 0.000
Nd 0.000 0.000 3.311
Nd 0.000 0.000 13.372
Nd 0.000 0.000 16.735
Ir 0.000 -1.565 6.106
Ir -1.355 0.782 6.106
Ir -1.356 -0.783 10.604
Ir 0.000 0.000 8.354
Ir 1.355 0.782 6.106
Ir 1.356 -0.783 10.604
Ir 0.000 1.566 10.604
Ir 0.000 0.000 21.701
```

Summary:
**Energy relative to the elements**: -0.59 eV/atom
**Crystal system**: trigonal
**VASP energy**: -7.8293 eV/atom
**N(E_F)**: 14.3 states/eV per cell

=====

No. 11
## Re2TcPF (GGA-PBE)

Data for an optimized crystal structure of Re2TcPF.

The structure in extended XYZ format:
```
5
Lattice="4.622 0.000 0.000 0.000 4.622 0.000 0.000 0.000 3.461" Properties=species:S:1:pos:R:3 pbc="T T T"
Re 0.000 2.311 0.000
Re 2.311 0.000 0.000
Tc 0.000 0.000 1.731
P 2.311 2.311 0.000
F 2.311 2.311 1.731
```

Summary:
**Crystal system**: tetragonal
**VASP energy**: -7.7177 eV/atom
**E_form (uncorrected)**: 0.791 eV/atom
**N(E_F)**: 6.1 states/eV per cell

=====

No. 12
## Sr3Tl4Pb4 (GGA-PBE)

Data for an optimized crystal structure of Sr3Tl4Pb4.

The structure in extended XYZ format:
```
11
Lattice="-2.517 4.289 8.818 2.517 -4.289 8.818 2.517 4.289 -8.818" Properties=species:S:1:pos:R:3 pbc="T T T"
Sr 0.000 0.000 0.000
Sr 2.517 0.000 6.659
Sr 0.000 4.289 2.159
Tl 2.517 1.816 -3.023
Tl 2.517 1.816 3.023
Tl 0.000 2.473 5.795
Tl 0.000 2.473 11.841
Pb 0.000 0.000 3.748
Pb 2.517 2.711 0.000
Pb 0.000 1.578 8.818
Pb 0.000 0.000 13.888
```

Summary:
**Energy relative to the elements**: -0.29 eV/atom
**Crystal system**: orthorhombic
**VASP energy**: -2.9561 eV/atom
**N(E_F)**: 4.1 states/eV per cell